A geometry-optimized Nd4Pu6O19 structure, computed with PBE.

Cell: 8.483 8.483 8.483 Å, 109.47 109.47 109.47°
Each line ends with the local moment (μB).
Fractional coordinates of all 29 atoms:
O (0.642, 0.237, 0.975)  -0.10
O (0.667, 0.025, 0.262)  -0.10
O (0.594, 0.358, 0.333)  -0.10
O (0.644, 0.000, 0.644)  -0.12
O (0.000, 0.000, 0.000)  0.00
O (0.356, 0.000, 0.356)  -0.12
O (0.025, 0.262, 0.667)  -0.10
O (0.333, 0.594, 0.358)  -0.10
O (0.262, 0.667, 0.025)  -0.10
O (0.356, 0.356, 0.000)  -0.12
O (0.358, 0.333, 0.594)  -0.10
O (0.000, 0.644, 0.644)  -0.12
O (0.644, 0.644, 0.000)  -0.12
O (0.000, 0.356, 0.356)  -0.12
O (0.763, 0.406, 0.738)  -0.10
O (0.738, 0.763, 0.406)  -0.10
O (0.406, 0.738, 0.763)  -0.10
O (0.237, 0.975, 0.642)  -0.10
O (0.975, 0.642, 0.237)  -0.10
Pu (0.500, 0.826, 0.326)  3.96
Pu (0.500, 0.174, 0.674)  3.96
Pu (0.826, 0.326, 0.500)  3.96
Pu (0.326, 0.500, 0.826)  3.96
Pu (0.174, 0.674, 0.500)  3.96
Pu (0.674, 0.500, 0.174)  3.96
Nd (0.000, 0.710, 0.000)  0.00
Nd (0.290, 0.290, 0.290)  0.00
Nd (0.710, 0.000, 0.000)  0.00
Nd (0.000, 0.000, 0.710)  0.00

Summary:
Crystal system ... cubic
Uncorrected formation energy ... -2990 meV per atom
Calculated total energy ... -9.86 eV/atom
Fermi-level density of states ... 0.892 states/eV/atom
SG ... No. 197


A geometry-optimized NdPuO4 structure, computed with PBE.

Cell: 5.474 5.474 6.642 Å, 114.33 114.33 90.00°
Each line ends with the local moment (μB).
Fractional coordinates of all 12 atoms:
Pu (0.500, 0.500, 0.000)  3.54
Pu (0.250, 0.750, 0.500)  3.54
O (0.147, 0.625, 0.750)  -0.12
O (0.375, 0.853, 0.250)  -0.12
O (0.603, 0.125, 0.750)  -0.12
O (0.875, 0.397, 0.250)  -0.12
O (0.875, 0.853, 0.250)  -0.12
O (0.147, 0.125, 0.750)  -0.12
O (0.603, 0.625, 0.750)  -0.12
O (0.375, 0.397, 0.250)  -0.12
Nd (0.750, 0.250, 0.500)  0.00
Nd (0.000, 0.000, 0.000)  0.00

Summary:
Crystal system ... tetragonal
Uncorrected formation energy ... -3068 meV per atom
Calculated total energy ... -9.56 eV/atom
Fermi-level density of states ... 0.989 states/eV/atom
SG ... No. 141


A geometry-optimized NdPu2O7 structure, computed with PBE.

Cell: 3.851 3.851 10.594 Å, 79.53 79.53 60.00°
Each line ends with the local moment (μB).
Fractional coordinates of all 10 atoms:
Nd (0.500, 0.500, 0.500)  0.00
O (0.864, 0.864, 0.407)  -0.07
O (0.000, 0.000, 0.000)  -0.23
O (0.136, 0.136, 0.593)  -0.07
O (0.280, 0.280, 0.159)  -0.25
O (0.720, 0.720, 0.841)  -0.25
O (0.580, 0.580, 0.260)  -0.18
O (0.420, 0.420, 0.740)  -0.18
Pu (0.934, 0.934, 0.199)  3.17
Pu (0.066, 0.066, 0.801)  3.17

Summary:
Crystal system ... trigonal
Uncorrected formation energy ... -2787 meV per atom
Calculated total energy ... -9.60 eV/atom
Fermi-level density of states ... 0.925 states/eV/atom
SG ... No. 166